one | Below is CaHgS2N after structural relaxation, with properties calculated at the PBE level.

Output
The value obtained for the volume is 111.4 Å³/f.u. The spin magnetization is 1.95 μB per cell.

abc: 5.167 5.167 4.173
angles: 90.00 90.00 90.00
Atoms (fractional coordinates):
S 0.500 0.000 0.000
N 0.000 0.000 0.500
S 0.000 0.500 0.000
Ca 0.500 0.500 0.500
Hg 0.000 0.000 0.000



two | Below is CaHgS2N after structural relaxation, with properties calculated at the PBE level.

Output
The value obtained for the volume is 131.7 Å³/f.u. The spin magnetization is 3.36 μB per cell.

abc: 5.365 5.365 4.578
angles: 90.00 90.00 90.00
Atoms (fractional coordinates):
S 0.500 0.000 0.000
S 0.000 0.500 0.000
Ca 0.000 0.000 0.000
Hg 0.500 0.500 0.500
N 0.000 0.000 0.500



So which one is most stable? That would be one, about 362 meV/atom below the next structure.



one | Below is CaHgSeN2 after structural relaxation, with properties calculated at the PBE level.

Output
The value obtained for the volume is 107.3 Å³/f.u. The spin magnetization is 3.14 μB per cell.

abc: 4.326 4.326 5.732
angles: 90.00 90.00 90.00
Atoms (fractional coordinates):
N 0.500 0.000 0.000
N 0.000 0.500 0.000
Hg 0.000 0.000 0.000
Se 0.000 0.000 0.500
Ca 0.500 0.500 0.500



two | Below is CaHgSeN2 after structural relaxation, with properties calculated at the PBE level.

Output
The value obtained for the volume is 125.1 Å³/f.u. The spin magnetization is 4.53 μB per cell.

abc: 4.580 4.580 5.964
angles: 90.00 90.00 90.00
Atoms (fractional coordinates):
Se 0.000 0.000 0.500
Ca 0.000 0.000 0.000
N 0.000 0.500 0.000
Hg 0.500 0.500 0.500
N 0.500 0.000 0.000



So which one is most stable? That would be one, about 184 meV/atom below the next structure.



one | Below is NaCaHg3 after structural relaxation, with properties calculated at the PBE level.

Output
The value obtained for the volume is 158.0 Å³/f.u. The spin magnetization is 0.00 μB per cell.

abc: 5.406 5.406 5.406
angles: 90.00 90.00 90.00
Atoms (fractional coordinates):
Hg 0.500 0.000 0.000
Na 0.000 0.000 0.000
Hg 0.000 0.000 0.500
Hg 0.000 0.500 0.000
Ca 0.500 0.500 0.500



two | Below is NaCaHg3 after structural relaxation, with properties calculated at the PBE level.

Output
The value obtained for the volume is 138.8 Å³/f.u. The spin magnetization is 0.00 μB per cell.

abc: 4.975 3.733 15.065
angles: 97.12 90.00 90.00
Atoms (fractional coordinates):
Hg 0.250 0.378 0.757
Na 0.750 0.925 0.850
Hg 0.750 0.317 0.635
Hg 0.250 0.683 0.365
Na 0.250 0.075 0.150
Hg 0.750 0.525 0.050
Hg 0.750 0.622 0.243
Ca 0.750 0.208 0.417
Hg 0.250 0.475 0.950
Ca 0.250 0.792 0.583



So which one is most stable? That would be two, about 338 meV/atom below the next structure.